Here is a relaxed TbNdNiAu crystal from the Alexandria database. Energies are from PBE.

Lattice parameters (Å, degrees): 5.058 5.058 5.058 60.00 60.00 60.00
Fractional coordinates of all 4 atoms:
Tb 0.000 0.000 0.000
Nd 0.500 0.500 0.500
Ni 0.250 0.250 0.250
Au 0.750 0.750 0.750

relative energy among the computed polymorphs = 6.0 kJ/mol of atoms
crystal system = cubic
ΔE_f = -0.512 eV/atom
theoretical density = 10.1 Mg/m³

=====

Here is a relaxed Y8TlZn2 crystal from the Alexandria database. Energies are from PBE.

Lattice parameters (Å, degrees): 8.516 8.516 8.351 117.35 117.35 35.58
Fractional coordinates of all 11 atoms:
Y 0.066 0.066 0.222
Y 0.149 0.149 0.710
Y 0.315 0.315 0.534
Y 0.395 0.395 0.036
Y 0.605 0.605 0.964
Y 0.685 0.685 0.466
Y 0.851 0.851 0.290
Y 0.934 0.934 0.778
Tl 0.500 0.500 0.500
Zn 0.218 0.218 0.117
Zn 0.782 0.782 0.883

relative energy among the computed polymorphs = 0.0 kJ/mol of atoms
crystal system = monoclinic
ΔE_f = -0.195 eV/atom
theoretical density = 5.6 Mg/m³

=====

Here is a relaxed TlFe2CoPd crystal from the Alexandria database. Energies are from PBE.

Lattice parameters (Å, degrees): 4.186 4.186 4.842 90.00 90.00 90.00
Fractional coordinates of all 5 atoms:
Tl 0.000 0.000 0.000
Fe 0.000 0.500 0.500
Fe 0.500 0.000 0.500
Co 0.000 0.000 0.500
Pd 0.500 0.500 0.000

crystal system = tetragonal
ΔE_f = 1.213 eV/atom
theoretical density = 9.4 Mg/m³

=====

Here is a relaxed CeMgAu2 crystal from the Alexandria database. Energies are from PBE.

Lattice parameters (Å, degrees): 3.407 3.407 7.322 90.00 90.00 90.00
Fractional coordinates of all 4 atoms:
Ce 0.000 0.000 0.000
Mg 0.000 0.000 0.500
Au 0.500 0.500 0.283
Au 0.500 0.500 0.717

crystal system = tetragonal
ΔE_f = -0.617 eV/atom
theoretical density = 10.9 Mg/m³

=====

Here is a relaxed Ce6PuSe12 crystal from the Alexandria database. Energies are from PBE.

Lattice parameters (Å, degrees): 8.423 8.423 8.423 99.81 99.81 99.81
Fractional coordinates of all 19 atoms:
Ce 0.123 0.636 0.805
Ce 0.195 0.877 0.364
Ce 0.364 0.195 0.877
Ce 0.636 0.805 0.123
Ce 0.805 0.123 0.636
Ce 0.877 0.364 0.195
Pu 0.500 0.500 0.500
Se 0.070 0.323 0.922
Se 0.078 0.930 0.677
Se 0.174 0.550 0.436
Se 0.323 0.922 0.070
Se 0.436 0.174 0.550
Se 0.450 0.564 0.826
Se 0.550 0.436 0.174
Se 0.564 0.826 0.450
Se 0.677 0.078 0.930
Se 0.826 0.450 0.564
Se 0.922 0.070 0.323
Se 0.930 0.677 0.078

crystal system = trigonal
electronic total energy = -123.46 eV per cell
theoretical density = 5.9 Mg/m³

=====

Here is a relaxed W8C crystal from the Alexandria database. Energies are from PBE.

Lattice parameters (Å, degrees): 6.000 6.000 6.000 99.10 99.10 133.14
Fractional coordinates of all 9 atoms:
W 0.000 0.277 0.277
W 0.000 0.723 0.723
W 0.277 0.000 0.277
W 0.335 0.335 0.671
W 0.335 0.665 0.000
W 0.665 0.335 0.000
W 0.665 0.665 0.329
W 0.723 0.000 0.723
C 0.000 0.000 0.000

crystal system = tetragonal
ΔE_f = 0.671 eV/atom
theoretical density = 17.0 Mg/m³

=====

Here is a relaxed Al2ReBRu crystal from the Alexandria database. Energies are from PBE.

Lattice parameters (Å, degrees): 4.817 4.817 4.634 90.00 90.00 90.00
Fractional coordinates of all 5 atoms:
Al 0.000 0.500 0.000
Al 0.500 0.000 0.000
Re 0.000 0.000 0.000
B 0.500 0.500 0.500
Ru 0.000 0.000 0.500

crystal system = tetragonal
ΔE_f = 1.703 eV/atom
theoretical density = 5.4 Mg/m³

=====

Here is a relaxed PrNd6Sm4 crystal from the Alexandria database. Energies are from PBE.

Lattice parameters (Å, degrees): 8.704 8.704 8.704 127.40 127.40 77.60
Fractional coordinates of all 11 atoms:
Pr 0.000 0.000 0.000
Nd 0.000 0.500 0.500
Nd 0.043 0.581 0.000
Nd 0.419 0.419 0.462
Nd 0.500 0.000 0.500
Nd 0.581 0.043 0.000
Nd 0.957 0.957 0.538
Sm 0.252 0.252 0.663
Sm 0.411 0.748 0.000
Sm 0.589 0.589 0.337
Sm 0.748 0.411 0.000

relative energy among the computed polymorphs = 6.4 kJ/mol of atoms
crystal system = tetragonal
ΔE_f = 0.353 eV/atom
theoretical density = 6.6 Mg/m³